No. 1
A crystal of Y2PbCl2 relaxed with PBEsol, computed with meta-GGA SCAN.

extended XYZ file:
```
5
Lattice="4.1813 0.0000 0.0000 0.0000 4.1813 0.0000 -2.0906 -2.0906 6.9979" Properties=species:S:1:pos:R:3 pbc="T T T"
Cl 2.0906 0.0000 3.4989
Cl 0.0000 2.0906 3.4989
Pb 0.0000 0.0000 0.0000
Y 0.0000 0.0000 5.3054
Y 2.0906 2.0906 1.6925
```

Computed properties:
calculated density: 6188 kg/m3
M_tot: 0.0 μB per cell
symmetry: I4/mmm, No. 139
formation energy from raw total energies: -1527 meV per atom



No. 2
A crystal of YPbCl relaxed with PBEsol, computed with meta-GGA SCAN.

extended XYZ file:
```
3
Lattice="-4.2059 2.4899 -0.9773 -2.9856 1.4112 3.7335 -0.3779 4.8225 1.2022" Properties=species:S:1:pos:R:3 pbc="T T T"
Y -1.8923 2.1809 0.9896
Pb -3.7847 4.3618 1.9792
Cl 0.0000 0.0000 0.0000
```

Computed properties:
calculated density: 6288 kg/m3
M_tot: 0.0 μB per cell
symmetry: F-43m, No. 216
offset from the most stable computed form: 603 meV per atom
formation energy from raw total energies: -568 meV per atom



No. 3
A crystal of YPb2Cl relaxed with PBEsol, computed with meta-GGA SCAN.

extended XYZ file:
```
4
Lattice="-0.9332 2.7986 -1.7004 -4.2005 -0.5581 1.3868 3.9624 2.8952 5.9995" Properties=species:S:1:pos:R:3 pbc="T T T"
Pb 0.8424 2.4238 3.5268
Pb -2.0137 2.7119 2.1591
Cl -0.4666 1.3993 -0.8502
Y -2.1003 -0.2790 0.6934
```

Computed properties:
calculated density: 8156 kg/m3
M_tot: 0.0 μB per cell
symmetry: Immm, No. 71
offset from the most stable computed form: 2 meV per atom
formation energy from raw total energies: -835 meV per atom